# NaCd5Ag6 (GGA-PBE, relaxed)
data_NaCd5Ag6
_cell_length_a 4.392
_cell_length_b 13.090
_cell_length_c 8.191
_cell_angle_alpha 90.00
_cell_angle_beta 90.50
_cell_angle_gamma 90.00
_symmetry_space_group_name_H-M 'C 1 2/m 1'
_symmetry_Int_Tables_number 12
loop_
_symmetry_equiv_pos_as_xyz
'x,y,z'
'-x,-y,-z'
'-x,y,-z'
'x,-y,z'
'x+1/2,y+1/2,z'
'-x+1/2,-y+1/2,-z'
'-x+1/2,y+1/2,-z'
'x+1/2,-y+1/2,z'
loop_
_atom_site_label
_atom_site_fract_x
_atom_site_fract_y
_atom_site_fract_z
Na1 0.000 0.000 0.000
Cd1 0.000 0.000 0.500
Cd2 0.000 0.332 0.000
Cd3 0.000 0.335 0.500
Ag1 0.000 0.168 0.253
Ag2 0.000 0.500 0.251
# **DOS(E_F)**: 0.287 states/eV/atom
# **Formation energy from the elements**: -45 meV/atom



# NaCd9Ag2 (GGA-PBE, relaxed)
data_NaCd9Ag2
_cell_length_a 11.979
_cell_length_b 11.979
_cell_length_c 7.744
_cell_angle_alpha 90.00
_cell_angle_beta 90.00
_cell_angle_gamma 90.00
_symmetry_space_group_name_H-M 'I 41/a m d'
_symmetry_Int_Tables_number 141
loop_
_symmetry_equiv_pos_as_xyz
'x,y,z'
'-x,-y,-z'
'-y+1/4,x+3/4,z+1/4'
'y+1/4,-x+3/4,-z+1/4'
'-x+1/2,-y,z+1/2'
'x+1/2,y,-z+1/2'
'y+1/4,-x+1/4,z+3/4'
'-y+1/4,x+1/4,-z+3/4'
'x,-y,-z'
'-x,y,z'
'-y+1/4,-x+1/4,-z+3/4'
'y+1/4,x+1/4,z+3/4'
'-x+1/2,y,-z+1/2'
'x+1/2,-y,z+1/2'
'y+1/4,x+3/4,-z+1/4'
'-y+1/4,-x+3/4,z+1/4'
'x+1/2,y+1/2,z+1/2'
'-x+1/2,-y+1/2,-z+1/2'
'-y+3/4,x+1/4,z+3/4'
'y+3/4,-x+1/4,-z+3/4'
'-x,-y+1/2,z'
'x,y+1/2,-z'
'y+3/4,-x+3/4,z+1/4'
'-y+3/4,x+3/4,-z+1/4'
'x+1/2,-y+1/2,-z+1/2'
'-x+1/2,y+1/2,z+1/2'
'-y+3/4,-x+3/4,-z+1/4'
'y+3/4,x+3/4,z+1/4'
'-x,y+1/2,-z'
'x,-y+1/2,z'
'y+3/4,x+1/4,-z+3/4'
'-y+3/4,-x+1/4,z+3/4'
loop_
_atom_site_label
_atom_site_fract_x
_atom_site_fract_y
_atom_site_fract_z
Na1 0.000 0.250 0.375
Cd1 0.000 0.250 0.875
Cd2 0.120 0.048 0.677
Ag1 0.000 0.000 0.000
# **Excess energy over the best structure of this formula in the dataset**: 0 meV per atom
# **DOS(E_F)**: 0.250 states/eV/atom
# **Formation energy from the elements**: -53 meV/atom



# Na16Cd12Ag (GGA-PBE, relaxed)
data_Na16Cd12Ag
_cell_length_a 11.642
_cell_length_b 16.132
_cell_length_c 10.055
_cell_angle_alpha 90.00
_cell_angle_beta 123.47
_cell_angle_gamma 90.00
_symmetry_space_group_name_H-M 'C 1 m 1'
_symmetry_Int_Tables_number 8
loop_
_symmetry_equiv_pos_as_xyz
'x,y,z'
'x,-y,z'
'x+1/2,y+1/2,z'
'x+1/2,-y+1/2,z'
loop_
_atom_site_label
_atom_site_fract_x
_atom_site_fract_y
_atom_site_fract_z
Na1 0.000 0.000 0.000
Na2 0.004 0.000 0.359
Na3 0.060 0.350 0.408
Na4 0.122 0.500 0.675
Na5 0.153 0.160 0.591
Na6 0.179 0.180 0.996
Na7 0.194 0.500 0.295
Na8 0.298 0.294 0.323
Na9 0.452 0.119 0.981
Na10 0.478 0.192 0.693
Cd1 0.007 0.188 0.182
Cd2 0.180 0.000 0.807
Cd3 0.242 0.410 0.024
Cd4 0.267 0.093 0.365
Cd5 0.313 0.315 0.821
Cd6 0.347 0.000 0.165
Cd7 0.404 0.407 0.645
Ag1 0.331 0.000 0.653
# **DOS(E_F)**: 0.507 states/eV/atom
# **Formation energy from the elements**: -82 meV/atom



# NaCd3Ag2 (GGA-PBE, relaxed)
data_NaCd3Ag2
_cell_length_a 5.8885
_cell_length_b 5.8885
_cell_length_c 9.3925
_cell_angle_alpha 90.00
_cell_angle_beta 90.00
_cell_angle_gamma 120.00
_symmetry_space_group_name_H-M 'P 63/m c m'
_symmetry_Int_Tables_number 193
_symmetry_space_group_name_Hall '-P 6c 2'
loop_
_atom_site_label
_atom_site_fract_x
_atom_site_fract_y
_atom_site_fract_z
Na1 0.0000 0.0000 0.0000
Cd1 0.0000 0.4970 0.2500
Ag1 0.3333 0.6667 0.0000
# **Excess energy over the best structure of this formula in the dataset**: 0 meV per atom
# **DOS(E_F)**: 0.349 states/eV/atom
# **Formation energy from the elements**: -59 meV/atom



# Na4CdAg (GGA-PBE, relaxed)
data_Na4CdAg
_cell_length_a 5.069
_cell_length_b 5.069
_cell_length_c 7.614
_cell_angle_alpha 90.00
_cell_angle_beta 90.00
_cell_angle_gamma 90.00
_symmetry_space_group_name_H-M 'P 4/m m m'
_symmetry_Int_Tables_number 123
_symmetry_space_group_name_Hall '-P 4 2'
loop_
_atom_site_label
_atom_site_fract_x
_atom_site_fract_y
_atom_site_fract_z
Na1 0.000 0.500 0.235
Cd1 0.000 0.000 0.500
Ag1 0.500 0.500 0.000
# **Excess energy over the best structure of this formula in the dataset**: 74 meV per atom
# **DOS(E_F)**: 0.283 states/eV/atom
# **Formation energy from the elements**: 61 meV/atom



# Na3Cd12Ag (GGA-PBE, relaxed)
data_Na3Cd12Ag
_cell_length_a 4.616
_cell_length_b 4.616
_cell_length_c 17.248
_cell_angle_alpha 90.00
_cell_angle_beta 90.00
_cell_angle_gamma 90.00
_symmetry_space_group_name_H-M 'P 4/m m m'
_symmetry_Int_Tables_number 123
_symmetry_space_group_name_Hall '-P 4 2'
loop_
_atom_site_label
_atom_site_fract_x
_atom_site_fract_y
_atom_site_fract_z
Na1 0.000 0.000 0.000
Na2 0.000 0.000 0.259
Cd1 0.000 0.500 0.131
Cd2 0.000 0.500 0.386
Cd3 0.500 0.500 0.000
Cd4 0.500 0.500 0.262
Cd5 0.500 0.500 0.500
Ag1 0.000 0.000 0.500
# **DOS(E_F)**: 0.355 states/eV/atom
# **Formation energy from the elements**: -51 meV/atom



# Na2Cd5Ag (GGA-PBE, relaxed)
data_Na2Cd5Ag
_cell_length_a 4.507
_cell_length_b 4.507
_cell_length_c 18.241
_cell_angle_alpha 90.00
_cell_angle_beta 90.00
_cell_angle_gamma 90.00
_symmetry_space_group_name_H-M 'I 4/m m m'
_symmetry_Int_Tables_number 139
_symmetry_space_group_name_Hall '-I 4 2'
loop_
_atom_site_label
_atom_site_fract_x
_atom_site_fract_y
_atom_site_fract_z
Na1 0.000 0.000 0.250
Cd1 0.000 0.000 0.000
Cd2 0.000 0.500 0.117
Ag1 0.000 0.000 0.500
# **DOS(E_F)**: 0.278 states/eV/atom
# **Formation energy from the elements**: -47 meV/atom



# NaCd8Ag2 (GGA-PBE, relaxed)
data_NaCd8Ag2
_cell_length_a 7.684
_cell_length_b 13.187
_cell_length_c 5.385
_cell_angle_alpha 90.00
_cell_angle_beta 111.33
_cell_angle_gamma 90.00
_symmetry_space_group_name_H-M 'C 1 2/m 1'
_symmetry_Int_Tables_number 12
loop_
_symmetry_equiv_pos_as_xyz
'x,y,z'
'-x,-y,-z'
'-x,y,-z'
'x,-y,z'
'x+1/2,y+1/2,z'
'-x+1/2,-y+1/2,-z'
'-x+1/2,y+1/2,-z'
'x+1/2,-y+1/2,z'
loop_
_atom_site_label
_atom_site_fract_x
_atom_site_fract_y
_atom_site_fract_z
Na1 0.000 0.000 0.000
Cd1 0.000 0.236 0.000
Cd2 0.082 0.500 0.790
Cd3 0.203 0.114 0.660
Ag1 0.000 0.305 0.500
# **Excess energy over the best structure of this formula in the dataset**: 51 meV per atom
# **DOS(E_F)**: 0.285 states/eV/atom
# **Formation energy from the elements**: 21 meV/atom



# NaCdAg3 (GGA-PBE, relaxed)
data_NaCdAg3
_cell_length_a 4.996
_cell_length_b 4.996
_cell_length_c 4.996
_cell_angle_alpha 90.00
_cell_angle_beta 90.00
_cell_angle_gamma 90.00
_symmetry_space_group_name_H-M 'P m -3 m'
_symmetry_Int_Tables_number 221
_symmetry_space_group_name_Hall '-P 4 2 3'
loop_
_atom_site_label
_atom_site_fract_x
_atom_site_fract_y
_atom_site_fract_z
Na1 0.000 0.000 0.000
Cd1 0.500 0.500 0.500
Ag1 0.000 0.000 0.500
# **Excess energy over the best structure of this formula in the dataset**: 728 meV per atom
# **DOS(E_F)**: 0.411 states/eV/atom
# **Formation energy from the elements**: 700 meV/atom



# Na12CdAg6 (GGA-PBE, relaxed)
data_Na12CdAg6
_cell_length_a 14.4447
_cell_length_b 14.4447
_cell_length_c 7.9050
_cell_angle_alpha 90.00
_cell_angle_beta 90.00
_cell_angle_gamma 120.00
_symmetry_space_group_name_H-M 'R -3'
_symmetry_Int_Tables_number 148
_symmetry_space_group_name_Hall '-R 3'
loop_
_atom_site_label
_atom_site_fract_x
_atom_site_fract_y
_atom_site_fract_z
Na1 0.0026 0.1421 0.1597
Na2 0.0616 0.5546 0.1828
Cd1 0.0000 0.0000 0.5000
Ag1 0.0264 0.2874 0.8201
# **Excess energy over the best structure of this formula in the dataset**: 22 meV per atom
# **DOS(E_F)**: 0.339 states/eV/atom
# **Formation energy from the elements**: 7 meV/atom



# Na3Cd4Ag2 (GGA-PBE, relaxed)
data_Na3Cd4Ag2
_cell_length_a 11.457
_cell_length_b 10.297
_cell_length_c 8.194
_cell_angle_alpha 90.00
_cell_angle_beta 115.33
_cell_angle_gamma 90.00
_symmetry_space_group_name_H-M 'C 1 2/c 1'
_symmetry_Int_Tables_number 15
loop_
_symmetry_equiv_pos_as_xyz
'x,y,z'
'-x,-y,-z'
'-x,y,-z+1/2'
'x,-y,z+1/2'
'x+1/2,y+1/2,z'
'-x+1/2,-y+1/2,-z'
'-x+1/2,y+1/2,-z+1/2'
'x+1/2,-y+1/2,z+1/2'
loop_
_atom_site_label
_atom_site_fract_x
_atom_site_fract_y
_atom_site_fract_z
Na1 0.000 0.098 0.250
Na2 0.095 0.387 0.127
Cd1 0.100 0.179 0.673
Cd2 0.206 0.103 0.070
Ag1 0.217 0.371 0.545
# **Excess energy over the best structure of this formula in the dataset**: 24 meV per atom
# **DOS(E_F)**: 0.326 states/eV/atom
# **Formation energy from the elements**: -53 meV/atom



# NaCd5Ag4 (GGA-PBE, relaxed)
data_NaCd5Ag4
_cell_length_a 3.470
_cell_length_b 3.470
_cell_length_c 16.987
_cell_angle_alpha 90.00
_cell_angle_beta 90.00
_cell_angle_gamma 90.00
_symmetry_space_group_name_H-M 'P 4/m m m'
_symmetry_Int_Tables_number 123
_symmetry_space_group_name_Hall '-P 4 2'
loop_
_atom_site_label
_atom_site_fract_x
_atom_site_fract_y
_atom_site_fract_z
Na1 0.000 0.000 0.000
Cd1 0.500 0.500 0.119
Cd2 0.500 0.500 0.309
Cd3 0.500 0.500 0.500
Ag1 0.000 0.000 0.213
Ag2 0.000 0.000 0.405
# **DOS(E_F)**: 0.193 states/eV/atom
# **Formation energy from the elements**: -46 meV/atom



# Na2Cd2Ag (GGA-PBE, relaxed)
data_Na2Cd2Ag
_cell_length_a 4.067
_cell_length_b 4.067
_cell_length_c 15.425
_cell_angle_alpha 90.00
_cell_angle_beta 90.00
_cell_angle_gamma 90.00
_symmetry_space_group_name_H-M 'I 4/m m m'
_symmetry_Int_Tables_number 139
_symmetry_space_group_name_Hall '-I 4 2'
loop_
_atom_site_label
_atom_site_fract_x
_atom_site_fract_y
_atom_site_fract_z
Na1 0.000 0.500 0.250
Cd1 0.000 0.000 0.091
Ag1 0.000 0.000 0.500
# **Excess energy over the best structure of this formula in the dataset**: 246 meV per atom
# **DOS(E_F)**: 0.381 states/eV/atom
# **Formation energy from the elements**: 170 meV/atom



# Na3Cd8Ag (GGA-PBE, relaxed)
data_Na3Cd8Ag
_cell_length_a 5.8682
_cell_length_b 5.8682
_cell_length_c 29.2591
_cell_angle_alpha 90.00
_cell_angle_beta 90.00
_cell_angle_gamma 120.00
_symmetry_space_group_name_H-M 'R 3 m'
_symmetry_Int_Tables_number 160
_symmetry_space_group_name_Hall 'R 3 -2"'
loop_
_atom_site_label
_atom_site_fract_x
_atom_site_fract_y
_atom_site_fract_z
Na1 0.0000 0.0000 0.0000
Na2 0.0000 0.0000 0.1272
Na3 0.0000 0.0000 0.5056
Cd1 0.0000 0.0000 0.3146
Cd2 0.0000 0.0000 0.8147
Cd3 0.0006 0.5003 0.5661
Cd4 0.1675 0.3349 0.3971
Ag1 0.0000 0.0000 0.6332
# **DOS(E_F)**: 0.141 states/eV/atom
# **Formation energy from the elements**: -60 meV/atom



# NaCd3Ag2 (GGA-PBE, relaxed)
data_NaCd3Ag2
_cell_length_a 6.2780
_cell_length_b 6.2780
_cell_length_c 22.0139
_cell_angle_alpha 90.00
_cell_angle_beta 90.00
_cell_angle_gamma 120.00
_symmetry_space_group_name_H-M 'R -3 m'
_symmetry_Int_Tables_number 166
_symmetry_space_group_name_Hall '-R 3 2"'
loop_
_atom_site_label
_atom_site_fract_x
_atom_site_fract_y
_atom_site_fract_z
Na1 0.0000 0.0000 0.2235
Cd1 0.0026 0.5013 0.2260
Ag1 0.0000 0.0000 0.0000
Ag2 0.0000 0.5000 0.0000
# **Excess energy over the best structure of this formula in the dataset**: 30 meV per atom
# **DOS(E_F)**: 0.351 states/eV/atom
# **Formation energy from the elements**: -28 meV/atom



# Na6CdAg5 (GGA-PBE, relaxed)
data_Na6CdAg5
_cell_length_a 10.126
_cell_length_b 13.282
_cell_length_c 4.477
_cell_angle_alpha 90.00
_cell_angle_beta 116.06
_cell_angle_gamma 90.00
_symmetry_space_group_name_H-M 'C 1 2/m 1'
_symmetry_Int_Tables_number 12
loop_
_symmetry_equiv_pos_as_xyz
'x,y,z'
'-x,-y,-z'
'-x,y,-z'
'x,-y,z'
'x+1/2,y+1/2,z'
'-x+1/2,-y+1/2,-z'
'-x+1/2,y+1/2,-z'
'x+1/2,-y+1/2,z'
loop_
_atom_site_label
_atom_site_fract_x
_atom_site_fract_y
_atom_site_fract_z
Na1 0.236 0.000 0.235
Na2 0.242 0.168 0.742
Cd1 0.000 0.500 0.000
Ag1 0.000 0.000 0.500
Ag2 0.000 0.174 0.000
Ag3 0.000 0.336 0.500
# **DOS(E_F)**: 0.323 states/eV/atom
# **Formation energy from the elements**: 9 meV/atom



# Na14CdAg (GGA-PBE, relaxed)
data_Na14CdAg
_cell_length_a 10.108
_cell_length_b 10.100
_cell_length_c 10.177
_cell_angle_alpha 90.00
_cell_angle_beta 90.00
_cell_angle_gamma 90.00
_symmetry_space_group_name_H-M 'A m m 2'
_symmetry_Int_Tables_number 38
loop_
_symmetry_equiv_pos_as_xyz
'x,y,z'
'-x,-y,z'
'-x,y,z'
'x,-y,z'
'x,y+1/2,z+1/2'
'-x,-y+1/2,z+1/2'
'-x,y+1/2,z+1/2'
'x,-y+1/2,z+1/2'
loop_
_atom_site_label
_atom_site_fract_x
_atom_site_fract_y
_atom_site_fract_z
Na1 0.000 0.000 0.000
Na2 0.000 0.000 0.497
Na3 0.000 0.250 0.249
Na4 0.276 0.000 0.750
Na5 0.279 0.246 0.998
Na6 0.282 0.000 0.246
Na7 0.500 0.247 0.749
Cd1 0.500 0.000 0.499
Ag1 0.500 0.000 0.997
# **DOS(E_F)**: 0.415 states/eV/atom
# **Formation energy from the elements**: 0 meV/atom



# NaCd4Ag5 (GGA-PBE, relaxed)
data_NaCd4Ag5
_cell_length_a 3.095
_cell_length_b 4.043
_cell_length_c 15.914
_cell_angle_alpha 90.00
_cell_angle_beta 90.00
_cell_angle_gamma 90.00
_symmetry_space_group_name_H-M 'P m m m'
_symmetry_Int_Tables_number 47
loop_
_symmetry_equiv_pos_as_xyz
'x,y,z'
'-x,-y,-z'
'-x,-y,z'
'x,y,-z'
'x,-y,-z'
'-x,y,z'
'-x,y,-z'
'x,-y,z'
loop_
_atom_site_label
_atom_site_fract_x
_atom_site_fract_y
_atom_site_fract_z
Na1 0.000 0.000 0.000
Cd1 0.000 0.000 0.203
Cd2 0.000 0.000 0.402
Ag1 0.500 0.500 0.112
Ag2 0.500 0.500 0.304
Ag3 0.500 0.500 0.500
# **Excess energy over the best structure of this formula in the dataset**: 0 meV per atom
# **DOS(E_F)**: 0.262 states/eV/atom
# **Formation energy from the elements**: -38 meV/atom



# NaCd2Ag3 (GGA-PBE, relaxed)
data_NaCd2Ag3
_cell_length_a 9.414
_cell_length_b 9.944
_cell_length_c 5.783
_cell_angle_alpha 90.00
_cell_angle_beta 90.00
_cell_angle_gamma 90.00
_symmetry_space_group_name_H-M 'I m m a'
_symmetry_Int_Tables_number 74
_symmetry_space_group_name_Hall '-I 2b 2'
loop_
_atom_site_label
_atom_site_fract_x
_atom_site_fract_y
_atom_site_fract_z
Na1 0.000 0.250 0.249
Cd1 0.000 0.083 0.749
Ag1 0.250 0.000 0.000
Ag2 0.250 0.250 0.750
# **Excess energy over the best structure of this formula in the dataset**: 0 meV per atom
# **DOS(E_F)**: 0.364 states/eV/atom
# **Formation energy from the elements**: -59 meV/atom



# NaCd4Ag (GGA-PBE, relaxed)
data_NaCd4Ag
_cell_length_a 8.204
_cell_length_b 8.204
_cell_length_c 8.204
_cell_angle_alpha 90.00
_cell_angle_beta 90.00
_cell_angle_gamma 90.00
_symmetry_space_group_name_H-M 'F -4 3 m'
_symmetry_Int_Tables_number 216
_symmetry_space_group_name_Hall 'F -4 2 3'
loop_
_atom_site_label
_atom_site_fract_x
_atom_site_fract_y
_atom_site_fract_z
Na1 0.000 0.000 0.000
Cd1 0.125 0.125 0.625
Ag1 0.250 0.250 0.250
# **Excess energy over the best structure of this formula in the dataset**: 54 meV per atom
# **DOS(E_F)**: 0.335 states/eV/atom
# **Formation energy from the elements**: -7 meV/atom